The following is a DFT calculation (PBE-GGA) of an optimized crystal structure of PaTi2C3.

The energy of formation from the pure elements is -0.798 eV/f.u.

It has space group Cmcm (No. 63), with a = 3.588 Å, b = 11.031 Å, c = 7.812 Å, α = 90.00°, β = 90.00° and γ = 90.00°. Symmetry generates all atoms from Pa at (0.000, 0.235, 0.250), Ti at (0.000, 0.023, 0.750), Ti at (0.000, 0.500, 0.000), C at (0.000, 0.134, 0.545) and C at (0.000, 0.420, 0.750).